This record from the Alexandria database describes a relaxed Ta2OsPt crystal. The functional is PBE-GGA.

The calculation puts the total moment at 0.00 μB per formula unit. The calculation puts the formation energy from the elements at -0.43 eV/atom.

Cell: 2.909 2.909 7.773 Å, 90.00 90.00 90.00°
Fractional coordinates of all 4 atoms:
Pt  0.500  0.500  0.750
Ta  0.000  0.000  0.487
Ta  0.000  0.000  0.013
Os  0.500  0.500  0.250